The following is a PBE-GGA calculation of a geometry-optimized K2NbNiS4 structure, from Alexandria.

E   -5.240 eV per atom
Formation energy from raw total energies   -0.920 eV per atom
Spin magnetization   0.00 μB/cell
Mass density   2.89 Mg/m³
SG   No. 82

Geometry as POSCAR:
```
K2NbNiS4
1.0
-0.8565 -0.5472 -6.3930
5.8308 -1.9380 2.0373
-3.8671 -3.8350 3.4989
K S Nb Ni
2 4 1 1
direct
0.0000 0.0000 0.0000
0.5000 0.7500 0.2500
0.3983 0.8593 0.7386
0.1207 0.2614 0.6598
0.8793 0.5391 0.1407
0.6017 0.3402 0.4609
0.5000 0.2500 0.7500
0.0000 0.5000 0.5000
```

---

The following is a PBE-GGA calculation of a geometry-optimized KNbNiS3 structure, from Alexandria.

E   -5.897 eV per atom
Formation energy from raw total energies   -1.009 eV per atom
Spin magnetization   0.00 μB/cell
Mass density   3.78 Mg/m³
SG   No. 11

Geometry as POSCAR:
```
KNbNiS3
1.0
3.5613 0.0000 0.0000
0.0000 8.4330 0.1419
0.0000 -3.8990 8.3254
S Ni K Nb
6 2 2 2
direct
0.2500 0.5321 0.8611
0.2500 0.7873 0.4577
0.7500 0.8885 0.1403
0.7500 0.2127 0.5423
0.2500 0.1115 0.8597
0.7500 0.4679 0.1389
0.2500 0.0898 0.6079
0.7500 0.9102 0.3921
0.7500 0.7654 0.7451
0.2500 0.2346 0.2549
0.2500 0.7001 0.1736
0.7500 0.2999 0.8264
```

---

The following is a PBE-GGA calculation of a geometry-optimized KNbNiSb2 structure, from Alexandria.

E   -4.729 eV per atom
Formation energy from raw total energies   0.310 eV per atom
Spin magnetization   0.14 μB/cell
Mass density   5.06 Mg/m³
SG   No. 123

Geometry as POSCAR:
```
KNbNiSb2
1.0
-4.5963 -0.8973 -2.6776
2.6282 -3.2303 -3.4290
-0.9384 -3.8390 2.8973
K Sb Ni Nb
1 2 1 1
direct
0.5000 0.5000 0.5000
0.5000 0.0000 0.0000
0.0000 0.5000 0.0000
0.0000 0.0000 0.5000
0.0000 0.0000 0.0000
```

---

The following is a PBE-GGA calculation of a geometry-optimized K2NbNi2Se4 structure, from Alexandria.

E   -4.945 eV per atom
Formation energy from raw total energies   -0.749 eV per atom
Spin magnetization   0.00 μB/cell
Mass density   5.07 Mg/m³
SG   No. 12

Geometry as POSCAR:
```
K2NbNi2Se4
1.0
3.7461 0.0000 0.0000
0.0000 7.9105 0.6381
-1.8730 -2.5587 6.4754
Ni Se Nb K
2 4 1 2
direct
0.6687 0.9826 0.3375
0.3313 0.0174 0.6625
0.1980 0.1697 0.3960
0.4865 0.2338 0.9730
0.8020 0.8303 0.6040
0.5135 0.7662 0.0270
0.0000 0.0000 0.0000
0.1356 0.5616 0.2713
0.8644 0.4384 0.7287
```

---

The following is a PBE-GGA calculation of a geometry-optimized KNbNiTe3 structure, from Alexandria.

E   -4.959 eV per atom
Formation energy from raw total energies   -0.564 eV per atom
Spin magnetization   0.00 μB/cell
Mass density   5.58 Mg/m³
SG   No. 11

Geometry as POSCAR:
```
KNbNiTe3
1.0
3.8354 0.0000 0.0000
0.0000 9.2516 -0.3025
0.0000 -4.7090 9.7793
Te Nb Ni K
6 2 2 2
direct
0.7500 0.2305 0.5453
0.7500 0.9197 0.1646
0.2500 0.7695 0.4547
0.2500 0.0803 0.8354
0.7500 0.4531 0.1175
0.2500 0.5469 0.8825
0.7500 0.2840 0.8126
0.2500 0.7160 0.1874
0.2500 0.0866 0.6027
0.7500 0.9134 0.3973
0.2500 0.2809 0.2825
0.7500 0.7191 0.7175
```

---

The following is a PBE-GGA calculation of a geometry-optimized KTiNbNi2 structure, from Alexandria.

E   -4.481 eV per atom
Energy above the lowest structure with this stoichiometry   0.61 eV per formula unit
Spin magnetization   0.00 μB/cell
Mass density   4.64 Mg/m³
SG   No. 123

Geometry as POSCAR:
```
KTiNbNi2
1.0
4.6029 0.0000 0.0000
0.0000 5.0238 0.0000
0.0000 0.0000 4.6029
Ni Nb K Ti
2 1 1 1
direct
0.5000 0.0000 0.0000
0.0000 0.0000 0.5000
0.0000 0.0000 0.0000
0.0000 0.5000 0.0000
0.5000 0.5000 0.5000
```

---

The following is a PBE-GGA calculation of a geometry-optimized KTiNbNi2 structure, from Alexandria.

E   -4.603 eV per atom
Energy above the lowest structure with this stoichiometry   0.00 eV per formula unit
Spin magnetization   1.83 μB/cell
Mass density   5.14 Mg/m³
SG   No. 123

Geometry as POSCAR:
```
KTiNbNi2
1.0
4.4694 0.0000 0.0000
0.0000 4.8088 0.0000
0.0000 0.0000 4.4694
Ni Ti Nb K
2 1 1 1
direct
0.0000 0.0000 0.5000
0.5000 0.0000 0.0000
0.0000 0.0000 0.0000
0.5000 0.5000 0.5000
0.0000 0.5000 0.0000
```

---

The following is a PBE-GGA calculation of a geometry-optimized KNb2NiW structure, from Alexandria.

E   -5.397 eV per atom
Spin magnetization   0.00 μB/cell
Mass density   8.57 Mg/m³
SG   No. 123

Geometry as POSCAR:
```
KNb2NiW
1.0
4.6955 0.0000 0.0000
0.0000 4.1062 0.0000
0.0000 0.0000 4.6955
Nb K W Ni
2 1 1 1
direct
0.0000 0.0000 0.5000
0.5000 0.0000 0.0000
0.0000 0.0000 0.0000
0.5000 0.5000 0.5000
0.0000 0.5000 0.0000
```